No. 1
The following is a DFT calculation (PBE) of a geometry-optimized NpMo2Os structure.

Geometry as CIF:
```
data_NpMo2Os
_chemical_formula_sum 'Np3 Mo6 Os3'
_cell_length_a 2.8020
_cell_length_b 2.8020
_cell_length_c 30.2349
_cell_angle_alpha 90.00
_cell_angle_beta 90.00
_cell_angle_gamma 120.00
_space_group_name_H-M_alt 'R -3 m'
_space_group_IT_number 166
_space_group_name_Hall '-R 3 2"'
loop_
_atom_site_label
_atom_site_fract_x
_atom_site_fract_y
_atom_site_fract_z
Np1 0.0000 0.0000 0.0000
Mo1 0.0000 0.0000 0.0937
Os1 0.0000 0.0000 0.5000
```

As for the total moment: 9.33 Bohr magnetons per cell. As for the crystal system: trigonal. As for the formation energy: 557 meV/atom.

No. 2
The following is a DFT calculation (PBE) of a geometry-optimized NpMoP2Os structure.

Geometry as CIF:
```
data_NpMoP2Os
_chemical_formula_sum 'Np2 Mo2 P4 Os2'
_cell_length_a 4.1574
_cell_length_b 4.1574
_cell_length_c 9.5660
_cell_angle_alpha 90.00
_cell_angle_beta 90.00
_cell_angle_gamma 90.00
_space_group_name_H-M_alt 'I -4 m 2'
_space_group_IT_number 119
_space_group_name_Hall 'I -4 -2'
loop_
_atom_site_label
_atom_site_fract_x
_atom_site_fract_y
_atom_site_fract_z
Np1 0.0000 0.0000 0.0000
Mo1 0.0000 0.5000 0.2500
P1 0.0000 0.0000 0.3744
Os1 0.0000 0.5000 0.7500
```

As for the total moment: 6.89 Bohr magnetons per cell. As for the crystal system: tetragonal. As for the formation energy: -448 meV/atom.

No. 3
The following is a DFT calculation (PBE) of a geometry-optimized NpUMoOs structure.

Geometry as CIF:
```
data_NpUMoOs
_chemical_formula_sum 'Np4 U4 Mo4 Os4'
_cell_length_a 6.5731
_cell_length_b 6.5731
_cell_length_c 6.5731
_cell_angle_alpha 90.00
_cell_angle_beta 90.00
_cell_angle_gamma 90.00
_space_group_name_H-M_alt 'F -4 3 m'
_space_group_IT_number 216
_space_group_name_Hall 'F -4 2 3'
loop_
_atom_site_label
_atom_site_fract_x
_atom_site_fract_y
_atom_site_fract_z
Np1 0.0000 0.0000 0.0000
U1 0.2500 0.2500 0.7500
Mo1 0.0000 0.0000 0.5000
Os1 0.2500 0.2500 0.2500
```

As for the total moment: 14.59 Bohr magnetons per cell. As for the crystal system: cubic. As for the formation energy: 107 meV/atom.

No. 4
The following is a DFT calculation (PBE) of a geometry-optimized NpMoP structure.

Geometry as CIF:
```
data_NpMoP
_chemical_formula_sum 'Np2 Mo2 P2'
_cell_length_a 3.2685
_cell_length_b 3.2685
_cell_length_c 8.8021
_cell_angle_alpha 90.00
_cell_angle_beta 90.00
_cell_angle_gamma 90.00
_space_group_name_H-M_alt 'P 4/n m m'
_space_group_IT_number 129
loop_
_space_group_symop_operation_xyz
'x,y,z'
'-x,-y,-z'
'-y+1/2,x,z'
'y+1/2,-x,-z'
'-x+1/2,-y+1/2,z'
'x+1/2,y+1/2,-z'
'y,-x+1/2,z'
'-y,x+1/2,-z'
'x+1/2,-y,-z'
'-x+1/2,y,z'
'-y,-x,-z'
'y,x,z'
'-x,y+1/2,-z'
'x,-y+1/2,z'
'y+1/2,x+1/2,-z'
'-y+1/2,-x+1/2,z'
loop_
_atom_site_label
_atom_site_fract_x
_atom_site_fract_y
_atom_site_fract_z
Np1 0.2500 0.2500 0.0613
Mo1 0.2500 0.2500 0.7009
P1 0.2500 0.2500 0.4077
```

As for the total moment: 0.00 Bohr magnetons per cell. As for the crystal system: tetragonal. As for the formation energy: -330 meV/atom.

Number 1: calculated density 15.0 g cm⁻³. Number 2: calculated density 11.8 g cm⁻³. Number 3: calculated density 17.8 g cm⁻³. Number 4: calculated density 12.9 g cm⁻³.